[1]
# Ce3HoIr8 (PBE, optimized geometry)
# - Formation enthalpy at 0 K: -780 meV/atom
data_Ce3HoIr8
_symmetry_space_group_name_H-M 'R 3 m'
_symmetry_Int_Tables_number 160
_symmetry_space_group_name_Hall 'R 3 -2"'
_cell_length_a 5.3862
_cell_length_b 5.3862
_cell_length_c 26.3695
_cell_angle_alpha 90.00
_cell_angle_beta 90.00
_cell_angle_gamma 120.00
loop_
_atom_site_label
_atom_site_type_symbol
_atom_site_fract_x
_atom_site_fract_y
_atom_site_fract_z
Ce1 Ce 0.0000 0.0000 0.0000
Ce2 Ce 0.0000 0.0000 0.1247
Ce3 Ce 0.0000 0.0000 0.6254
Ho1 Ho 0.0000 0.0000 0.5001
Ir1 Ir 0.0000 0.0000 0.3125
Ir2 Ir 0.0000 0.0000 0.8128
Ir3 Ir 0.0004 0.5002 0.0629
Ir4 Ir 0.0004 0.5002 0.5622

[2]
# Nd2ThSc2 (PBE, optimized geometry)
# - Formation enthalpy at 0 K: 36 meV/atom
data_Nd2ThSc2
_symmetry_space_group_name_H-M 'I 4/m m m'
_symmetry_Int_Tables_number 139
_symmetry_space_group_name_Hall '-I 4 2'
_cell_length_a 3.5388
_cell_length_b 3.5388
_cell_length_c 24.1185
_cell_angle_alpha 90.00
_cell_angle_beta 90.00
_cell_angle_gamma 90.00
loop_
_atom_site_label
_atom_site_type_symbol
_atom_site_fract_x
_atom_site_fract_y
_atom_site_fract_z
Nd1 Nd 0.0000 0.0000 0.1947
Th1 Th 0.0000 0.0000 0.0000
Sc1 Sc 0.0000 0.0000 0.4078

[3]
# SiNi2Pd (PBE, optimized geometry)
# - Raw formation energy: -1.89 eV per formula unit
data_SiNi2Pd
_symmetry_space_group_name_H-M 'C m c m'
_symmetry_Int_Tables_number 63
_symmetry_space_group_name_Hall '-C 2c 2'
_cell_length_a 3.5232
_cell_length_b 8.3879
_cell_length_c 6.7465
_cell_angle_alpha 90.00
_cell_angle_beta 90.00
_cell_angle_gamma 90.00
loop_
_atom_site_label
_atom_site_type_symbol
_atom_site_fract_x
_atom_site_fract_y
_atom_site_fract_z
Si1 Si 0.0000 0.2332 0.2500
Ni1 Ni 0.0000 0.3570 0.5568
Pd1 Pd 0.0000 0.0596 0.7500

[4]
# BaCdN2Cl (PBE, optimized geometry)
# - Raw formation energy: 3.03 eV per formula unit
data_BaCdN2Cl
_symmetry_space_group_name_H-M 'P 4/m m m'
_symmetry_Int_Tables_number 123
_symmetry_space_group_name_Hall '-P 4 2'
_cell_length_a 4.3761
_cell_length_b 4.3761
_cell_length_c 6.6541
_cell_angle_alpha 90.00
_cell_angle_beta 90.00
_cell_angle_gamma 90.00
loop_
_atom_site_label
_atom_site_type_symbol
_atom_site_fract_x
_atom_site_fract_y
_atom_site_fract_z
Ba1 Ba 0.0000 0.0000 0.0000
Cd1 Cd 0.0000 0.0000 0.5000
N1 N 0.0000 0.5000 0.5000
Cl1 Cl 0.5000 0.5000 0.0000

no.,total magnetic moment (μB/cell)
1,1.24
2,0.00
3,0.00
4,2.61